Entry 1:
Compound: CdIrAu2
Source: the Alexandria database
Functional: PBE
Structure: optimized geometry

```
CdIrAu2
1.0
5.5894 0.0046 -0.0016
2.6901 4.8994 0.0016
-3.5212 -3.4963 2.5726
Au Ir Cd
2 1 1
Direct
0.0052 0.0052 0.0000
0.7511 0.2511 0.5000
0.2489 0.7489 0.5000
0.4948 0.4948 0.0000
```

Symmetry: Imm2 (44)
Formation energy from the elements (kJ per mole of atoms): 18
DFT total energy (eV per atom): -3.89

---

Entry 2:
Compound: Ce4MgPb3
Source: the Alexandria database
Functional: PBE
Structure: optimized geometry

```
Ce4MgPb3
1.0
4.1442 0.0000 0.0000
0.0000 4.4256 -0.6254
-2.0721 -0.4114 13.0925
Pb Ce Mg
3 4 1
Direct
0.8414 0.8411 0.6827
0.1586 0.1589 0.3173
0.0000 0.5000 0.0000
0.3984 0.3982 0.7968
0.2919 0.2916 0.5839
0.7081 0.7084 0.4161
0.6016 0.6018 0.2032
0.5000 0.0000 0.0000
```

Symmetry: Immm (71)
Formation energy from the elements (kJ per mole of atoms): -22
Energy above the most stable polymorph in this dataset (meV per atom): 145
DFT total energy (eV per atom): -4.78

---

Entry 3:
Compound: AcTb2FeN4
Source: the Alexandria database
Functional: PBE
Structure: optimized geometry

```
AcTb2FeN4
1.0
3.4844 0.0000 0.0000
-1.7422 5.8626 0.0000
0.0000 0.0000 11.6893
Tb N Ac Fe
4 8 2 2
Direct
0.3673 0.7346 0.9547
0.6327 0.2654 0.0453
0.3673 0.7346 0.5453
0.6327 0.2654 0.4547
0.2644 0.5288 0.3742
0.0000 0.0000 0.0000
0.7356 0.4712 0.6258
0.0000 0.0000 0.5000
0.7356 0.4712 0.8742
0.4019 0.8038 0.7500
0.5981 0.1962 0.2500
0.2644 0.5288 0.1258
0.1024 0.2049 0.7500
0.8976 0.7951 0.2500
0.1663 0.3325 0.2500
0.8337 0.6675 0.7500
```

Energy relative to the elements, uncorrected (eV per atom): -1.09
Symmetry: Cmcm (63)
DFT total energy (eV per atom): -7.98